Entry 1:
## VIr3Os (PBE)

Data for crystalline VIr3Os at its relaxed geometry.

Summary:
Size of the total moment (μB/f.u.): 3.0
V (A^3/atom): 20.980
Energy above the lowest structure with this stoichiometry (eV per atom): 1.9005
DFT formation energy (meV per atom): 1798

Cell: 4.716 4.716 4.716 Å, 90.00 90.00 90.00°
Last column: magnetic moment on the atom in μB.
Positions (direct):
1 Os 0.000 0.000 0.000  0.05
2 Ir 0.000 0.000 0.500  -0.08
3 Ir 0.000 0.500 0.000  -0.08
4 Ir 0.500 0.000 0.000  -0.08
5 V 0.500 0.500 0.500  2.65



Entry 2:
## VZnIrOs2 (PBE)

Data for crystalline VZnIrOs2 at its relaxed geometry.

Summary:
Size of the total moment (μB/f.u.): 1.5
V (A^3/atom): 20.587
DFT formation energy (meV per atom): 1745

Cell: 4.744 4.574 4.744 Å, 90.00 90.00 90.00°
Last column: magnetic moment on the atom in μB.
Positions (direct):
1 Ir 0.000 0.000 0.000  -0.10
2 V 0.000 0.500 0.000  1.68
3 Zn 0.500 0.500 0.500  -0.01
4 Os 0.500 0.000 0.000  -0.09
5 Os 0.000 0.000 0.500  -0.15



Entry 3:
## Ir3OsW (PBE)

Data for crystalline Ir3OsW at its relaxed geometry.

Summary:
Size of the total moment (μB/f.u.): 0.0
V (A^3/atom): 20.232
Energy above the lowest structure with this stoichiometry (eV per atom): 0.0330
DFT formation energy (meV per atom): 2321

Cell: 4.659 4.659 4.659 Å, 90.00 90.00 90.00°
Positions (direct):
1 Ir 0.000 0.500 0.000
2 Ir 0.000 0.000 0.500
3 Ir 0.500 0.000 0.000
4 W 0.500 0.500 0.500
5 Os 0.000 0.000 0.000



Copy entry 2 word for word.
## VZnIrOs2 (PBE)

Data for crystalline VZnIrOs2 at its relaxed geometry.

Summary:
Size of the total moment (μB/f.u.): 1.5
V (A^3/atom): 20.587
DFT formation energy (meV per atom): 1745

Cell: 4.744 4.574 4.744 Å, 90.00 90.00 90.00°
Last column: magnetic moment on the atom in μB.
Positions (direct):
1 Ir 0.000 0.000 0.000  -0.10
2 V 0.000 0.500 0.000  1.68
3 Zn 0.500 0.500 0.500  -0.01
4 Os 0.500 0.000 0.000  -0.09
5 Os 0.000 0.000 0.500  -0.15



What did the third record say?
## Ir3OsW (PBE)

Data for crystalline Ir3OsW at its relaxed geometry.

Summary:
Size of the total moment (μB/f.u.): 0.0
V (A^3/atom): 20.232
Energy above the lowest structure with this stoichiometry (eV per atom): 0.0330
DFT formation energy (meV per atom): 2321

Cell: 4.659 4.659 4.659 Å, 90.00 90.00 90.00°
Positions (direct):
1 Ir 0.000 0.500 0.000
2 Ir 0.000 0.000 0.500
3 Ir 0.500 0.000 0.000
4 W 0.500 0.500 0.500
5 Os 0.000 0.000 0.000



What is the formula in the second record? VZnIrOs2